[1]
A relaxed structure of Ce2TlH. Source: Alexandria, functional GGA-PBE.

Computed properties:
polymorph energy (0 for the lowest one) = 0 meV/atom

Cell: 8.415 8.415 4.705 Å, 90.00 90.00 148.35°
Atoms (fractional coordinates):
Ce1 0.056 0.944 0.750
Ce2 0.244 0.756 0.250
Ce3 0.756 0.244 0.750
Ce4 0.944 0.056 0.250
Tl1 0.401 0.599 0.750
Tl2 0.599 0.401 0.250
H1 0.204 0.796 0.750
H2 0.796 0.204 0.250

---

[2]
A relaxed structure of LiPmGaBi. Source: Alexandria, functional GGA-PBE.

Computed properties:
E_tot = -3.7688 eV per atom

Cell: 5.240 5.240 5.240 Å, 60.00 60.00 60.00°
Atoms (fractional coordinates):
Li1 0.000 0.000 0.000
Pm1 0.500 0.500 0.500
Ga1 0.250 0.250 0.250
Bi1 0.750 0.750 0.750

---

[3]
A relaxed structure of KLa2Au. Source: Alexandria, functional GGA-PBE.

Computed properties:
polymorph energy (0 for the lowest one) = 298 meV/atom

Cell: 3.965 5.666 5.731 Å, 90.00 90.00 90.00°
Atoms (fractional coordinates):
K1 0.000 0.000 0.000
La1 0.000 0.500 0.500
La2 0.500 0.500 0.000
Au1 0.500 0.000 0.500

---

[4]
A relaxed structure of YIr2Au. Source: Alexandria, functional GGA-PBE.

Computed properties:
polymorph energy (0 for the lowest one) = 596 meV/atom

Cell: 9.175 9.175 9.175 Å, 19.23 19.23 19.23°
Atoms (fractional coordinates):
Y1 0.000 0.000 0.000
Ir1 0.250 0.250 0.250
Ir2 0.750 0.750 0.750
Au1 0.500 0.500 0.500

---

[5]
A relaxed structure of NiTe3Pb. Source: Alexandria, functional GGA-PBE.

Computed properties:
polymorph energy (0 for the lowest one) = 1132 meV/atom
formation energy from raw total energies = 116 kJ per mole of atoms

Cell: 5.790 5.790 5.790 Å, 90.00 90.00 90.00°
Atoms (fractional coordinates):
Ni1 0.000 0.000 0.000
Te1 0.000 0.500 0.500
Te2 0.500 0.000 0.500
Te3 0.500 0.500 0.000
Pb1 0.500 0.500 0.500

---

[6]
A relaxed structure of Cu2NiAu6. Source: Alexandria, functional GGA-PBE.

Computed properties:
polymorph energy (0 for the lowest one) = 31 meV/atom

Cell: 6.534 5.720 8.831 Å, 90.00 99.85 90.00°
Atoms (fractional coordinates):
Cu1 0.175 0.002 0.152
Cu2 0.175 0.498 0.652
Cu3 0.825 0.502 0.348
Cu4 0.825 0.998 0.848
Ni1 0.500 0.000 0.000
Ni2 0.500 0.500 0.500
Au1 0.162 0.245 0.404
Au2 0.162 0.255 0.904
Au3 0.165 0.738 0.908
Au4 0.165 0.762 0.408
Au5 0.477 0.700 0.226
Au6 0.477 0.800 0.726
Au7 0.523 0.200 0.274
Au8 0.523 0.300 0.774
Au9 0.835 0.238 0.592
Au10 0.835 0.262 0.092
Au11 0.838 0.745 0.096
Au12 0.838 0.755 0.596

---

| no. | theoretical density (g/cm3) | M_tot (Bohr magnetons per cell) | density of states at the Fermi level (states/eV/f.u.) |
| --- | --- | --- | --- |
| 1 | 9.22 | 4.0 | 9.85 |
| 2 | 7.03 | 0.0 | 2.49 |
| 3 | 6.63 | 0.0 | 3.96 |
| 4 | 15.19 | 0.0 | 4.29 |
| 5 | 5.55 | 0.1 | 14.48 |
| 6 | 13.97 | 0.0 | 3.78 |